First-principles (meta-GGA SCAN) data for a crystal of ZnCo3 relaxed with PBEsol, as listed in the Alexandria database.

a = 2.5027 Å, b = 2.5027 Å, c = 24.2748 Å
α = 90.00°, β = 90.00°, γ = 120.00°
Space group R-3m (No. 166, hexagonal axes)
Symmetry-distinct sites (fractional):
Zn 0.0000 0.0000 0.0000
Co 0.0000 0.0000 0.2463
Co 0.0000 0.0000 0.5000

Summary:
Total magnetic moment in μB per cell: 15.52
DFT total energy in eV per atom: -16.3256



First-principles (meta-GGA SCAN) data for a crystal of ZnCo3 relaxed with PBEsol, as listed in the Alexandria database.

a = 3.527 Å, b = 3.527 Å, c = 14.037 Å
α = 90.00°, β = 90.00°, γ = 90.00°
Space group I4/mmm (No. 139)
Symmetry-distinct sites (fractional):
Zn 0.000 0.000 0.124
Co 0.000 0.000 0.373
Co 0.000 0.500 0.000
Co 0.000 0.500 0.250

Summary:
Total magnetic moment in μB per cell: 20.73
DFT total energy in eV per atom: -16.3095



First-principles (meta-GGA SCAN) data for a crystal of ZnCo relaxed with PBEsol, as listed in the Alexandria database.

a = 9.240 Å, b = 2.569 Å, c = 4.324 Å
α = 90.00°, β = 115.90°, γ = 90.00°
Space group C2/m (No. 12)
Symmetry-distinct sites (fractional):
Zn 0.119 0.000 0.302
Co 0.134 0.500 0.812

Summary:
Total magnetic moment in μB per cell: 5.87
DFT total energy in eV per atom: -15.3437



First-principles (meta-GGA SCAN) data for a crystal of Zn5Co relaxed with PBEsol, as listed in the Alexandria database.

a = 3.708 Å, b = 11.345 Å, c = 3.647 Å
α = 90.00°, β = 90.00°, γ = 90.00°
Space group Cmmm (No. 65)
Symmetry-distinct sites (fractional):
Zn 0.000 0.000 0.000
Zn 0.000 0.161 0.500
Zn 0.000 0.339 0.000
Co 0.000 0.500 0.500

Summary:
Total magnetic moment in μB per cell: 0.81
DFT total energy in eV per atom: -14.1297



First-principles (meta-GGA SCAN) data for a crystal of Zn5Co3 relaxed with PBEsol, as listed in the Alexandria database.

a = 6.986 Å, b = 7.281 Å, c = 3.714 Å
α = 90.00°, β = 90.00°, γ = 90.00°
Space group Cmmm (No. 65)
Symmetry-distinct sites (fractional):
Zn 0.000 0.000 0.000
Zn 0.233 0.500 0.500
Zn 0.250 0.250 0.000
Co 0.000 0.240 0.500
Co 0.000 0.500 0.000

Summary:
Total magnetic moment in μB per cell: 9.12
DFT total energy in eV per atom: -14.9621



First-principles (meta-GGA SCAN) data for a crystal of Zn3Co relaxed with PBEsol, as listed in the Alexandria database.

a = 4.582 Å, b = 8.363 Å, c = 5.212 Å
α = 90.00°, β = 90.00°, γ = 90.00°
Space group Pnma (No. 62)
Symmetry-distinct sites (fractional):
Zn 0.069 0.250 0.119
Zn 0.237 0.508 0.373
Co 0.093 0.250 0.625

Summary:
Total magnetic moment in μB per cell: 4.98
DFT total energy in eV per atom: -14.4375